1.
The following is a PBE calculation of a relaxed structure of Ta2InCo, from the Alexandria database.

Properties
The value obtained for the energy of formation is 9.0 kJ per mole of atoms. The value obtained for the density is 13.3 g/cm3. The density of states at the Fermi level comes out at 0.981 states/eV per atom.

Lattice parameters (Å, degrees): 5.3355 5.3355 5.3355 143.68 131.02 62.48
Fractional positions:
1 Ta 0.2321 0.2321 0.0000
2 Ta 0.7679 0.7679 0.0000
3 In 0.5000 0.0000 0.5000
4 Co 0.0000 0.5000 0.5000

2.
The following is a PBE calculation of a relaxed structure of Ba6AlAg2, from the Alexandria database.

Properties
The value obtained for the energy of formation is -13.6 kJ per mole of atoms. The value obtained for the density is 4.4 g/cm3. The density of states at the Fermi level comes out at 0.960 states/eV per atom.

Lattice parameters (Å, degrees): 11.7170 9.3684 8.1941 83.41 52.59 44.00
Fractional positions:
1 Ba 0.0384 0.2942 0.7058
2 Ba 0.2942 0.0384 0.9616
3 Ba 0.3708 0.6292 0.3708
4 Ba 0.6292 0.3708 0.6292
5 Ba 0.7058 0.9616 0.0384
6 Ba 0.9616 0.7058 0.2942
7 Al 0.0000 0.0000 0.0000
8 Ag 0.3365 0.3365 0.6635
9 Ag 0.6635 0.6635 0.3365

3.
The following is a PBE calculation of a relaxed structure of SmDyAg4, from the Alexandria database.

Properties
The value obtained for the energy of formation is -27.9 kJ per mole of atoms. The value obtained for the density is 9.3 g/cm3. The density of states at the Fermi level comes out at 0.494 states/eV per atom.

Lattice parameters (Å, degrees): 5.3872 5.3872 5.3340 90.09 90.09 120.58
Fractional positions:
1 Sm 0.0000 0.0000 0.0000
2 Dy 0.5000 0.5000 0.5000
3 Ag 0.1727 0.8273 0.5000
4 Ag 0.3309 0.6691 0.0000
5 Ag 0.6691 0.3309 0.0000
6 Ag 0.8273 0.1727 0.5000